1 | Cs5ErO4 (PBE, optimized geometry); total magnetization = 0.1 Bohr magnetons per cell; symmetry = C2/m, No. 12
1.0
9.708 -1.886 0.000
9.708 1.886 0.000
-1.636 0.000 7.859
Cs Er O
5 1 4
direct
0.000 0.000 0.000
0.351 0.351 0.660
0.353 0.353 0.196
0.647 0.647 0.804
0.649 0.649 0.340
0.000 0.000 0.500
0.120 0.120 0.558
0.499 0.499 0.308
0.501 0.501 0.692
0.880 0.880 0.442


2 | Cs5ErO4 (PBE, optimized geometry); total magnetization = 0.0 Bohr magnetons per cell; symmetry = Pmmn, No. 59
1.0
8.498 0.000 0.000
0.000 9.973 0.000
0.000 0.000 7.012
Cs Er O
10 2 8
direct
0.011 0.063 0.244
0.011 0.437 0.244
0.250 0.750 0.327
0.489 0.063 0.244
0.489 0.437 0.244
0.511 0.563 0.756
0.511 0.937 0.756
0.750 0.250 0.673
0.989 0.563 0.756
0.989 0.937 0.756
0.250 0.250 0.718
0.750 0.750 0.282
0.035 0.250 0.881
0.250 0.068 0.550
0.250 0.432 0.550
0.465 0.250 0.881
0.535 0.750 0.119
0.750 0.568 0.450
0.750 0.932 0.450
0.965 0.750 0.119


Relative energies, in eV/atom, with the most stable structure set to zero: 1 0.061; 2 0.000.


1 | CsErZnTe3 (PBE, optimized geometry); total magnetization = 0.0 Bohr magnetons per cell; symmetry = P2_1/m, No. 11
1.0
10.319 0.000 0.000
0.000 4.426 0.000
-4.161 0.000 10.115
Cs Er Zn Te
2 2 2 6
direct
0.217 0.250 0.245
0.783 0.750 0.755
0.331 0.750 0.863
0.669 0.250 0.137
0.083 0.250 0.609
0.917 0.750 0.391
0.120 0.250 0.861
0.201 0.750 0.545
0.476 0.750 0.161
0.524 0.250 0.839
0.799 0.250 0.455
0.880 0.750 0.139


2 | CsErZnTe3 (PBE, optimized geometry); total magnetization = 0.0 Bohr magnetons per cell; symmetry = Cmcm, No. 63
1.0
2.209 -8.665 0.000
2.209 8.665 0.000
0.000 0.000 11.677
Cs Er Zn Te
2 2 2 6
direct
0.248 0.752 0.750
0.752 0.248 0.250
0.500 0.500 0.000
0.500 0.500 0.500
0.036 0.964 0.250
0.964 0.036 0.750
0.118 0.882 0.057
0.118 0.882 0.443
0.440 0.560 0.250
0.560 0.440 0.750
0.882 0.118 0.557
0.882 0.118 0.943


Relative energies, in eV/atom, with the most stable structure set to zero: 1 0.019; 2 0.000.


1 | Cs3F2 (PBE, optimized geometry); total magnetization = 0.0 Bohr magnetons per cell; symmetry = I4_1md, No. 109
1.0
-4.427 4.427 6.855
4.427 -4.427 6.855
4.427 4.427 -6.855
Cs F
6 4
direct
0.000 0.000 0.000
0.287 0.555 0.732
0.305 0.073 0.768
0.305 0.537 0.232
0.750 0.250 0.500
0.823 0.555 0.268
0.099 0.383 0.284
0.099 0.815 0.716
0.133 0.349 0.784
0.565 0.349 0.216


2 | Cs3F2 (PBE, optimized geometry); total magnetization = 1.2 Bohr magnetons per cell; symmetry = R-3c, No. 167
1.0
3.815 2.202 7.438
-3.815 2.202 7.438
0.000 -4.405 7.438
Cs F
6 4
direct
0.066 0.750 0.434
0.250 0.566 0.934
0.434 0.066 0.750
0.566 0.934 0.250
0.750 0.434 0.066
0.934 0.250 0.566
0.165 0.165 0.165
0.335 0.335 0.335
0.665 0.665 0.665
0.835 0.835 0.835


Relative energies, in eV/atom, with the most stable structure set to zero: 1 0.000; 2 0.069.